# 1
ZrAgSb2 (PBE, optimized geometry); theoretical density = 8.2 g/cm³; E_form (uncorrected) = -225.8 meV/atom
1.0
4.870 0.000 0.000
0.000 4.870 0.000
0.000 0.000 3.787
Zr Ag Sb
1 1 2
Direct
0.000 0.000 0.000 Zr
0.500 0.500 0.000 Ag
0.000 0.500 0.500 Sb
0.500 0.000 0.500 Sb

# 2
Fe2CoOsI (PBE, optimized geometry); theoretical density = 7.9 g/cm³; E_form (uncorrected) = 2197.3 meV/atom
1.0
4.578 0.000 0.000
0.000 4.578 0.000
0.000 0.000 4.873
Fe Co Os I
2 1 1 1
Direct
0.000 0.500 0.000 Fe
0.500 0.000 0.000 Fe
0.000 0.000 0.500 Co
0.500 0.500 0.500 Os
0.500 0.500 0.000 I

# 3
YRuPt3 (PBE, optimized geometry); theoretical density = 11.4 g/cm³; energy relative to the lowest polymorph listed for this composition = 0.000 eV/atom; formation enthalpy at 0 K = 0.338 eV per atom
1.0
4.828 0.000 0.000
0.000 4.828 0.000
0.000 0.000 4.828
Y Ru Pt
1 1 3
Direct
0.000 0.000 0.000 Y
0.500 0.500 0.500 Ru
0.000 0.500 0.500 Pt
0.500 0.000 0.500 Pt
0.500 0.500 0.000 Pt

# 4
Dy2Mg2Zn4Ga (PBE, optimized geometry); theoretical density = 5.8 g/cm³; formation enthalpy at 0 K = -0.030 eV per atom
1.0
-3.284 3.284 4.660
3.284 -3.284 4.660
3.284 3.284 -4.660
Dy Mg Zn Ga
2 2 4 1
Direct
0.204 0.204 0.000 Dy
0.796 0.796 0.000 Dy
0.250 0.750 0.500 Mg
0.750 0.250 0.500 Mg
0.234 0.234 0.469 Zn
0.234 0.766 0.000 Zn
0.766 0.234 0.000 Zn
0.766 0.766 0.531 Zn
0.500 0.500 0.000 Ga

# 5
BaLa4Al (PBE, optimized geometry); theoretical density = 5.5 g/cm³; formation enthalpy at 0 K = 0.288 eV per atom
1.0
0.000 4.786 4.786
4.786 0.000 4.786
4.786 4.786 0.000
Ba La Al
1 4 1
Direct
0.000 0.000 0.000 Ba
0.138 0.621 0.621 La
0.621 0.138 0.621 La
0.621 0.621 0.138 La
0.621 0.621 0.621 La
0.250 0.250 0.250 Al

# 6
MgTeNF2 (PBE, optimized geometry); theoretical density = 4.4 g/cm³; energy relative to the lowest polymorph listed for this composition = 0.000 eV/atom; E_form (uncorrected) = -1184.7 meV/atom
1.0
3.606 0.000 0.000
0.000 3.606 0.000
0.000 0.000 5.876
Mg Te N F
1 1 1 2
Direct
0.000 0.000 0.000 Mg
0.500 0.500 0.500 Te
0.000 0.000 0.500 N
0.000 0.500 0.000 F
0.500 0.000 0.000 F